[1]
Compound: Hf6TlBi
Source: the Alexandria database
Functional: PBE-GGA
Structure: relaxed

a = 6.6114 Å, b = 10.4615 Å, c = 5.2682 Å
α = 90.00°, β = 90.00°, γ = 90.00°
Space group Cmmm (No. 65)
Asymmetric unit:
Hf1 0.0000 0.2494 0.0000 [4 per cell]
Hf2 0.2321 0.0000 0.0000 [4 per cell]
Hf3 0.2500 0.2500 0.5000 [4 per cell]
Tl1 0.0000 0.0000 0.5000 [2 per cell]
Bi1 0.0000 0.5000 0.5000 [2 per cell]

Calculated values
Calculated volume   22.8 A^3/atom
Energy relative to the elements   0.068 eV/atom
Energy above the lowest structure with this stoichiometry   58 meV per atom
DOS at the Fermi energy   14.72 states/eV/cell

---

[2]
Compound: KCu2Mo
Source: the Alexandria database
Functional: PBE-GGA
Structure: relaxed

a = 2.7462 Å, b = 2.7462 Å, c = 9.3231 Å
α = 90.00°, β = 90.00°, γ = 90.00°
Space group P4mm (No. 99)
Asymmetric unit:
K1 0.0000 0.0000 0.0000 [1 per cell]
Cu1 0.0000 0.0000 0.5338 [1 per cell]
Cu2 0.5000 0.5000 0.7048 [1 per cell]
Mo1 0.5000 0.5000 0.3312 [1 per cell]

Calculated values
Calculated volume   17.6 A^3/atom
Energy relative to the elements   0.694 eV/atom
Energy above the lowest structure with this stoichiometry   121 meV per atom
DOS at the Fermi energy   3.20 states/eV/cell

---

[3]
Compound: CaPmNiPt
Source: the Alexandria database
Functional: PBE-GGA
Structure: relaxed

a = 6.9908 Å, b = 6.9908 Å, c = 6.9908 Å
α = 90.00°, β = 90.00°, γ = 90.00°
Space group F-43m (No. 216)
Asymmetric unit:
Ca1 0.0000 0.0000 0.0000 [4 per cell]
Pm1 0.0000 0.0000 0.5000 [4 per cell]
Ni1 0.2500 0.2500 0.2500 [4 per cell]
Pt1 0.2500 0.2500 0.7500 [4 per cell]

Calculated values
Calculated volume   21.4 A^3/atom
Energy relative to the elements   -0.592 eV/atom
DOS at the Fermi energy   8.75 states/eV/cell

---

[4]
Compound: PmSm4Sb5
Source: the Alexandria database
Functional: PBE-GGA
Structure: relaxed

a = 4.4754 Å, b = 4.4754 Å, c = 31.6323 Å
α = 90.00°, β = 90.00°, γ = 90.00°
Space group I4/mmm (No. 139)
Asymmetric unit:
Pm1 0.0000 0.0000 0.0000 [2 per cell]
Sm1 0.0000 0.0000 0.2001 [4 per cell]
Sm2 0.0000 0.0000 0.3999 [4 per cell]
Sb1 0.0000 0.0000 0.1003 [4 per cell]
Sb2 0.0000 0.0000 0.3000 [4 per cell]
Sb3 0.0000 0.0000 0.5000 [2 per cell]

Calculated values
Calculated volume   31.7 A^3/atom
ΔE_f (raw)   -1181 meV per atom
DOS at the Fermi energy   2.35 states/eV/cell

---

no.,total moment (μB per cell)
1,0.00
2,0.33
3,0.00
4,0.00